1.
# Y2Rh

A PBEsol-optimized structure of Y2Rh (meta-GGA SCAN, Alexandria).

Properties
**Energy relative to the elements**: -712 meV per atom

a = 3.6950 Å, b = 11.9470 Å, c = 6.5904 Å
α = 90.00°, β = 90.00°, γ = 90.00°
Space group Cmc2_1 (No. 36)
Inequivalent atoms, fractional coordinates:
Y 0.0000 0.0137 0.0000 (multiplicity 4)
Y 0.0000 0.2827 0.1945 (multiplicity 4)
Rh 0.0000 0.3827 0.7813 (multiplicity 4)


2.
# TlReAs2Au

A PBEsol-optimized structure of TlReAs2Au (meta-GGA SCAN, Alexandria).

Properties
**Energy relative to the elements**: 1386 meV per atom

a = 4.9013 Å, b = 4.9013 Å, c = 5.2027 Å
α = 90.00°, β = 90.00°, γ = 90.00°
Space group P4/mmm (No. 123)
Inequivalent atoms, fractional coordinates:
Tl 0.0000 0.0000 0.0000 (multiplicity 1)
Re 0.5000 0.5000 0.0000 (multiplicity 1)
As 0.0000 0.5000 0.5000 (multiplicity 2)
Au 0.5000 0.5000 0.5000 (multiplicity 1)


3.
# CsMnSi2

A PBEsol-optimized structure of CsMnSi2 (meta-GGA SCAN, Alexandria).

Properties
**E_form (uncorrected)**: 1.089 eV per atom

a = 7.0634 Å, b = 7.0634 Å, c = 7.0634 Å
α = 90.00°, β = 90.00°, γ = 90.00°
Space group Fm-3m (No. 225)
Inequivalent atoms, fractional coordinates:
Cs 0.0000 0.0000 0.0000 (multiplicity 4)
Mn 0.0000 0.0000 0.5000 (multiplicity 4)
Si 0.2500 0.2500 0.2500 (multiplicity 8)


4.
# BeZnMo2O

A PBEsol-optimized structure of BeZnMo2O (meta-GGA SCAN, Alexandria).

Properties
**E_form (uncorrected)**: 1.571 eV per atom

a = 4.7026 Å, b = 4.7026 Å, c = 3.4637 Å
α = 90.00°, β = 90.00°, γ = 90.00°
Space group P4/mmm (No. 123)
Inequivalent atoms, fractional coordinates:
Be 0.0000 0.0000 0.0000 (multiplicity 1)
Zn 0.5000 0.5000 0.5000 (multiplicity 1)
Mo 0.0000 0.5000 0.5000 (multiplicity 2)
O 0.5000 0.5000 0.0000 (multiplicity 1)


5.
# CaY2Tc

A PBEsol-optimized structure of CaY2Tc (meta-GGA SCAN, Alexandria).

Properties
**Energy relative to the elements**: -3 meV per atom

a = 3.4523 Å, b = 3.4523 Å, c = 9.1219 Å
α = 90.00°, β = 90.00°, γ = 90.00°
Space group P4/mmm (No. 123)
Inequivalent atoms, fractional coordinates:
Ca 0.0000 0.0000 0.0000 (multiplicity 1)
Y 0.5000 0.5000 0.3251 (multiplicity 2)
Tc 0.0000 0.0000 0.5000 (multiplicity 1)


6.
# Ba2DyBiO6

A PBEsol-optimized structure of Ba2DyBiO6 (meta-GGA SCAN, Alexandria).

Properties
**E_form (uncorrected)**: -2.623 eV per atom

a = 8.5993 Å, b = 8.5993 Å, c = 8.5993 Å
α = 90.00°, β = 90.00°, γ = 90.00°
Space group Fm-3m (No. 225)
Inequivalent atoms, fractional coordinates:
Ba 0.2500 0.2500 0.2500 (multiplicity 8)
Dy 0.0000 0.0000 0.0000 (multiplicity 4)
Bi 0.0000 0.0000 0.5000 (multiplicity 4)
O 0.0000 0.0000 0.2553 (multiplicity 24)


7.
# Ba3CdRh

A PBEsol-optimized structure of Ba3CdRh (meta-GGA SCAN, Alexandria).

Properties
**Energy relative to the elements**: -175 meV per atom

a = 5.8797 Å, b = 5.8797 Å, c = 5.8797 Å
α = 90.00°, β = 90.00°, γ = 90.00°
Space group Pm-3m (No. 221)
Inequivalent atoms, fractional coordinates:
Ba 0.0000 0.0000 0.5000 (multiplicity 3)
Cd 0.5000 0.5000 0.5000 (multiplicity 1)
Rh 0.0000 0.0000 0.0000 (multiplicity 1)


8.
# Y2NiAu

A PBEsol-optimized structure of Y2NiAu (meta-GGA SCAN, Alexandria).

Properties
**Energy relative to the elements**: -465 meV per atom

a = 4.1282 Å, b = 4.1282 Å, c = 9.3905 Å
α = 90.00°, β = 90.00°, γ = 90.00°
Space group I-4m2 (No. 119)
Inequivalent atoms, fractional coordinates:
Y 0.0000 0.0000 0.0000 (multiplicity 2)
Y 0.0000 0.5000 0.2500 (multiplicity 2)
Ni 0.0000 0.5000 0.7500 (multiplicity 2)
Au 0.0000 0.0000 0.5000 (multiplicity 2)


9.
# BeMoSe

A PBEsol-optimized structure of BeMoSe (meta-GGA SCAN, Alexandria).

Properties
**E_form (uncorrected)**: 0.535 eV per atom

a = 4.3530 Å, b = 4.3530 Å, c = 2.6105 Å
α = 90.00°, β = 90.00°, γ = 120.00°
Space group P3m1 (No. 156)
Inequivalent atoms, fractional coordinates:
Be 0.0000 0.0000 0.0000 (multiplicity 1)
Mo 0.3333 0.6667 0.3965 (multiplicity 1)
Se 0.6667 0.3333 0.2555 (multiplicity 1)


10.
# La2W

A PBEsol-optimized structure of La2W (meta-GGA SCAN, Alexandria).

Properties
**Energy relative to the elements**: 945 meV per atom

a = 5.4994 Å, b = 5.4994 Å, c = 16.5525 Å
α = 90.00°, β = 90.00°, γ = 120.00°
Space group R32 (No. 155, hexagonal axes)
Inequivalent atoms, fractional coordinates:
La 0.0000 0.0000 0.0000 (multiplicity 3)
La 0.0000 0.3190 0.5000 (multiplicity 9)
W 0.0000 0.0000 0.3319 (multiplicity 6)


11.
# HfNbTeN2

A PBEsol-optimized structure of HfNbTeN2 (meta-GGA SCAN, Alexandria).

Properties
**E_form (uncorrected)**: 0.390 eV per atom

a = 4.1135 Å, b = 4.1135 Å, c = 5.5848 Å
α = 90.00°, β = 90.00°, γ = 90.00°
Space group P4/mmm (No. 123)
Inequivalent atoms, fractional coordinates:
Hf 0.0000 0.0000 0.0000 (multiplicity 1)
Nb 0.5000 0.5000 0.5000 (multiplicity 1)
Te 0.0000 0.0000 0.5000 (multiplicity 1)
N 0.0000 0.5000 0.0000 (multiplicity 2)


12.
# Ca2AlZn

A PBEsol-optimized structure of Ca2AlZn (meta-GGA SCAN, Alexandria).

Properties
**Energy relative to the elements**: -227 meV per atom

a = 3.5674 Å, b = 5.1580 Å, c = 5.2606 Å
α = 90.00°, β = 90.00°, γ = 90.00°
Space group Pmm2 (No. 25)
Inequivalent atoms, fractional coordinates:
Ca 0.0000 0.0000 0.0000 (multiplicity 1)
Ca 0.0000 0.5000 0.4574 (multiplicity 1)
Al 0.5000 0.5000 0.9418 (multiplicity 1)
Zn 0.5000 0.0000 0.5263 (multiplicity 1)


13.
# AsPd3O

A PBEsol-optimized structure of AsPd3O (meta-GGA SCAN, Alexandria).

Properties
**E_form (uncorrected)**: 0.017 eV per atom

a = 4.1723 Å, b = 4.1723 Å, c = 4.1723 Å
α = 90.00°, β = 90.00°, γ = 90.00°
Space group Pm-3m (No. 221)
Inequivalent atoms, fractional coordinates:
As 0.0000 0.0000 0.0000 (multiplicity 1)
Pd 0.0000 0.5000 0.5000 (multiplicity 3)
O 0.5000 0.5000 0.5000 (multiplicity 1)


14.
# CsTeIO2

A PBEsol-optimized structure of CsTeIO2 (meta-GGA SCAN, Alexandria).

Properties
**E_form (uncorrected)**: -0.546 eV per atom

a = 4.5204 Å, b = 4.5204 Å, c = 5.9175 Å
α = 90.00°, β = 90.00°, γ = 90.00°
Space group P4/mmm (No. 123)
Inequivalent atoms, fractional coordinates:
Cs 0.0000 0.0000 0.0000 (multiplicity 1)
Te 0.5000 0.5000 0.5000 (multiplicity 1)
I 0.5000 0.5000 0.0000 (multiplicity 1)
O 0.0000 0.5000 0.5000 (multiplicity 2)


15.
# BeAs2SeS

A PBEsol-optimized structure of BeAs2SeS (meta-GGA SCAN, Alexandria).

Properties
**E_form (uncorrected)**: 0.677 eV per atom

a = 4.5232 Å, b = 4.5232 Å, c = 4.2810 Å
α = 90.00°, β = 90.00°, γ = 90.00°
Space group P4/mmm (No. 123)
Inequivalent atoms, fractional coordinates:
Be 0.0000 0.0000 0.0000 (multiplicity 1)
As 0.0000 0.5000 0.0000 (multiplicity 2)
Se 0.0000 0.0000 0.5000 (multiplicity 1)
S 0.5000 0.5000 0.5000 (multiplicity 1)


16.
# TiMn2CdH

A PBEsol-optimized structure of TiMn2CdH (meta-GGA SCAN, Alexandria).

Properties
**VASP energy**: -17.38 eV per atom

a = 3.9285 Å, b = 3.9285 Å, c = 3.8066 Å
α = 90.00°, β = 90.00°, γ = 90.00°
Space group P4/mmm (No. 123)
Inequivalent atoms, fractional coordinates:
Ti 0.0000 0.0000 0.0000 (multiplicity 1)
Mn 0.0000 0.5000 0.5000 (multiplicity 2)
Cd 0.5000 0.5000 0.0000 (multiplicity 1)
H 0.0000 0.0000 0.5000 (multiplicity 1)


17.
# LiTl2Hg

A PBEsol-optimized structure of LiTl2Hg (meta-GGA SCAN, Alexandria).

Properties
**Energy relative to the elements**: -178 meV per atom

a = 3.3238 Å, b = 3.3238 Å, c = 8.3929 Å
α = 90.00°, β = 90.00°, γ = 90.00°
Space group P4mm (No. 99)
Inequivalent atoms, fractional coordinates:
Li 0.0000 0.0000 0.0000 (multiplicity 1)
Tl 0.0000 0.0000 0.5346 (multiplicity 1)
Tl 0.5000 0.5000 0.2332 (multiplicity 1)
Hg 0.5000 0.5000 0.8192 (multiplicity 1)


18.
# Tl2POs

A PBEsol-optimized structure of Tl2POs (meta-GGA SCAN, Alexandria).

Properties
**Energy relative to the elements**: 1134 meV per atom

a = 9.8055 Å, b = 3.3371 Å, c = 4.6217 Å
α = 90.00°, β = 94.46°, γ = 90.00°
Space group C2/m (No. 12)
Inequivalent atoms, fractional coordinates:
Tl 0.2339 0.0000 0.2422 (multiplicity 4)
P 0.0000 0.0000 0.5000 (multiplicity 2)
Os 0.0000 0.5000 0.0000 (multiplicity 2)


19.
# BaScHg

A PBEsol-optimized structure of BaScHg (meta-GGA SCAN, Alexandria).

Properties
**Energy relative to the elements**: -70 meV per atom

a = 3.7382 Å, b = 3.7382 Å, c = 7.7451 Å
α = 90.00°, β = 90.00°, γ = 120.00°
Space group P3m1 (No. 156)
Inequivalent atoms, fractional coordinates:
Ba 0.0000 0.0000 0.0000 (multiplicity 1)
Sc 0.6667 0.3333 0.4057 (multiplicity 1)
Hg 0.3333 0.6667 0.6514 (multiplicity 1)


20.
# TaCuPt

A PBEsol-optimized structure of TaCuPt (meta-GGA SCAN, Alexandria).

Properties
**Energy relative to the elements**: -494 meV per atom

a = 4.3104 Å, b = 4.3104 Å, c = 2.7140 Å
α = 90.00°, β = 90.00°, γ = 120.00°
Space group P-6m2 (No. 187)
Inequivalent atoms, fractional coordinates:
Ta 0.0000 0.0000 0.0000 (multiplicity 1)
Cu 0.3333 0.6667 0.5000 (multiplicity 1)
Pt 0.6667 0.3333 0.5000 (multiplicity 1)


21.
# YZn2NiPt

A PBEsol-optimized structure of YZn2NiPt (meta-GGA SCAN, Alexandria).

Properties
**Energy relative to the elements**: -81 meV per atom

a = 4.6211 Å, b = 4.6211 Å, c = 4.7178 Å
α = 90.00°, β = 90.00°, γ = 90.00°
Space group P4/mmm (No. 123)
Inequivalent atoms, fractional coordinates:
Y 0.0000 0.0000 0.0000 (multiplicity 1)
Zn 0.0000 0.5000 0.5000 (multiplicity 2)
Ni 0.5000 0.5000 0.0000 (multiplicity 1)
Pt 0.5000 0.5000 0.5000 (multiplicity 1)


22.
# MgCrRh

A PBEsol-optimized structure of MgCrRh (meta-GGA SCAN, Alexandria).

Properties
**Energy relative to the elements**: 29 meV per atom

a = 2.8693 Å, b = 2.8693 Å, c = 10.1847 Å
α = 90.00°, β = 90.00°, γ = 90.00°
Space group I4mm (No. 107)
Inequivalent atoms, fractional coordinates:
Mg 0.0000 0.0000 0.0000 (multiplicity 2)
Cr 0.0000 0.0000 0.3177 (multiplicity 2)
Rh 0.0000 0.0000 0.6783 (multiplicity 2)


23.
# CrInAs2Se

A PBEsol-optimized structure of CrInAs2Se (meta-GGA SCAN, Alexandria).

Properties
**E_form (uncorrected)**: 0.165 eV per atom

a = 4.4929 Å, b = 4.4929 Å, c = 5.3462 Å
α = 90.00°, β = 90.00°, γ = 90.00°
Space group P4/mmm (No. 123)
Inequivalent atoms, fractional coordinates:
Cr 0.0000 0.0000 0.0000 (multiplicity 1)
In 0.5000 0.5000 0.5000 (multiplicity 1)
As 0.0000 0.5000 0.0000 (multiplicity 2)
Se 0.0000 0.0000 0.5000 (multiplicity 1)


24.
# Ba3RuO

A PBEsol-optimized structure of Ba3RuO (meta-GGA SCAN, Alexandria).

Properties
**E_form (uncorrected)**: 0.100 eV per atom

a = 5.6472 Å, b = 5.6472 Å, c = 5.6472 Å
α = 90.00°, β = 90.00°, γ = 90.00°
Space group Pm-3m (No. 221)
Inequivalent atoms, fractional coordinates:
Ba 0.0000 0.0000 0.5000 (multiplicity 3)
Ru 0.0000 0.0000 0.0000 (multiplicity 1)
O 0.5000 0.5000 0.5000 (multiplicity 1)


25.
# LiAl2Ag

A PBEsol-optimized structure of LiAl2Ag (meta-GGA SCAN, Alexandria).

Properties
**Energy relative to the elements**: -113 meV per atom

a = 5.4502 Å, b = 8.1253 Å, c = 2.8730 Å
α = 90.00°, β = 90.00°, γ = 90.00°
Space group Cmmm (No. 65)
Inequivalent atoms, fractional coordinates:
Li 0.0000 0.0000 0.0000 (multiplicity 2)
Al 0.2500 0.2500 0.5000 (multiplicity 4)
Ag 0.0000 0.5000 0.0000 (multiplicity 2)


26.
# K2SrBr

A PBEsol-optimized structure of K2SrBr (meta-GGA SCAN, Alexandria).

Properties
**E_form (uncorrected)**: -0.785 eV per atom

a = 4.4787 Å, b = 7.2456 Å, c = 12.1114 Å
α = 90.00°, β = 90.00°, γ = 90.00°
Space group Cmm2 (No. 35)
Inequivalent atoms, fractional coordinates:
K 0.0000 0.0000 0.0000 (multiplicity 2)
K 0.0000 0.5000 0.3180 (multiplicity 2)
Sr 0.0000 0.5000 0.6982 (multiplicity 2)
Br 0.0000 0.0000 0.5165 (multiplicity 2)


27.
# YTl2Pb

A PBEsol-optimized structure of YTl2Pb (meta-GGA SCAN, Alexandria).

Properties
**Energy relative to the elements**: -341 meV per atom

a = 4.4208 Å, b = 4.6437 Å, c = 10.1917 Å
α = 90.00°, β = 90.00°, γ = 90.00°
Space group Immm (No. 71)
Inequivalent atoms, fractional coordinates:
Y 0.0000 0.0000 0.0000 (multiplicity 2)
Tl 0.0000 0.5000 0.2520 (multiplicity 4)
Pb 0.0000 0.0000 0.5000 (multiplicity 2)


28.
# ZnCr2Ag

A PBEsol-optimized structure of ZnCr2Ag (meta-GGA SCAN, Alexandria).

Properties
**Energy relative to the elements**: 475 meV per atom

a = 3.4943 Å, b = 3.4943 Å, c = 4.2476 Å
α = 90.00°, β = 90.00°, γ = 90.00°
Space group P4/mmm (No. 123)
Inequivalent atoms, fractional coordinates:
Zn 0.0000 0.0000 0.0000 (multiplicity 1)
Cr 0.0000 0.5000 0.5000 (multiplicity 2)
Ag 0.5000 0.5000 0.0000 (multiplicity 1)


29.
# Sb2PbW

A PBEsol-optimized structure of Sb2PbW (meta-GGA SCAN, Alexandria).

Properties
**E_form (uncorrected)**: 1.110 eV per atom

a = 3.5087 Å, b = 4.9748 Å, c = 5.1275 Å
α = 90.00°, β = 90.00°, γ = 90.00°
Space group Pmmm (No. 47)
Inequivalent atoms, fractional coordinates:
Sb 0.0000 0.0000 0.0000 (multiplicity 1)
Sb 0.5000 0.0000 0.5000 (multiplicity 1)
Pb 0.0000 0.5000 0.5000 (multiplicity 1)
W 0.5000 0.5000 0.0000 (multiplicity 1)


30.
# VSnRh2

A PBEsol-optimized structure of VSnRh2 (meta-GGA SCAN, Alexandria).

Properties
**Energy relative to the elements**: -483 meV per atom

a = 4.0111 Å, b = 4.0111 Å, c = 7.3285 Å
α = 90.00°, β = 90.00°, γ = 90.00°
Space group I4/mmm (No. 139)
Inequivalent atoms, fractional coordinates:
V 0.0000 0.0000 0.0000 (multiplicity 2)
Sn 0.0000 0.0000 0.5000 (multiplicity 2)
Rh 0.0000 0.5000 0.2500 (multiplicity 4)


Number 1: DOS at the Fermi energy 8.3 states/eV per cell. Number 2: DOS at the Fermi energy 2.8 states/eV per cell. Number 3: DOS at the Fermi energy 8.9 states/eV per cell. Number 4: DOS at the Fermi energy 3.4 states/eV per cell. Number 5: DOS at the Fermi energy 4.5 states/eV per cell. Number 6: DOS at the Fermi energy 0.0 states/eV per cell. Number 7: DOS at the Fermi energy 4.1 states/eV per cell. Number 8: DOS at the Fermi energy 4.9 states/eV per cell. Number 9: DOS at the Fermi energy 1.3 states/eV per cell. Number 10: DOS at the Fermi energy 17.1 states/eV per cell. Number 11: DOS at the Fermi energy 3.2 states/eV per cell. Number 12: DOS at the Fermi energy 1.7 states/eV per cell. Number 13: DOS at the Fermi energy 2.3 states/eV per cell. Number 14: DOS at the Fermi energy 0.4 states/eV per cell. Number 15: DOS at the Fermi energy 3.9 states/eV per cell. Number 16: DOS at the Fermi energy 3.7 states/eV per cell. Number 17: DOS at the Fermi energy 1.8 states/eV per cell. Number 18: DOS at the Fermi energy 4.5 states/eV per cell. Number 19: DOS at the Fermi energy 2.9 states/eV per cell. Number 20: DOS at the Fermi energy 1.5 states/eV per cell. Number 21: DOS at the Fermi energy 3.6 states/eV per cell. Number 22: DOS at the Fermi energy 5.9 states/eV per cell. Number 23: DOS at the Fermi energy 1.3 states/eV per cell. Number 24: DOS at the Fermi energy 1.5 states/eV per cell. Number 25: DOS at the Fermi energy 2.5 states/eV per cell. Number 26: DOS at the Fermi energy 4.4 states/eV per cell. Number 27: DOS at the Fermi energy 4.6 states/eV per cell. Number 28: DOS at the Fermi energy 2.7 states/eV per cell. Number 29: DOS at the Fermi energy 3.4 states/eV per cell. Number 30: DOS at the Fermi energy 6.8 states/eV per cell.